CaLa3Sm7: optimized geometry, PBE.

Unit cell a=11.952 b=10.260 c=6.613 alpha=90.00 beta=94.15 gamma=90.00
Space group C2/m (No. 12)
Symmetry-distinct sites (fractional):
Ca 0.000 0.000 0.000 [2 per cell]
La 0.000 0.323 0.500 [4 per cell]
La 0.000 0.500 0.000 [2 per cell]
Sm 0.000 0.000 0.500 [2 per cell]
Sm 0.234 0.500 0.706 [4 per cell]
Sm 0.242 0.171 0.756 [8 per cell]

ΔE_f   0.213 eV/atom
ρ   6.198 Mg/m³
Crystal system   monoclinic

---

KCu2Sb: optimized geometry, PBE.

Unit cell a=5.351 b=5.351 c=16.747 alpha=90.00 beta=90.00 gamma=90.00
Space group I4_1/amd (No. 141, origin choice 2)
Symmetry-distinct sites (fractional):
K 0.000 0.250 0.375 [4 per cell]
Cu 0.000 0.000 0.000 [8 per cell]
Sb 0.000 0.250 0.875 [4 per cell]

Formation energy from raw total energies   -0.05 eV per formula unit
ρ   3.989 Mg/m³
Crystal system   tetragonal

---

La2CuSi: optimized geometry, PBE.

Unit cell a=7.845 b=7.845 c=7.499 alpha=90.00 beta=90.00 gamma=90.00
Space group I-42d (No. 122)
Symmetry-distinct sites (fractional):
La 0.246 0.750 0.125 [8 per cell]
Cu 0.000 0.000 0.000 [4 per cell]
Si 0.000 0.000 0.500 [4 per cell]

Formation energy from raw total energies   -0.20 eV per formula unit
ρ   5.317 Mg/m³
Crystal system   tetragonal

---

Re2HgH: optimized geometry, PBE.

Unit cell a=5.026 b=5.026 c=9.621 alpha=90.00 beta=90.00 gamma=90.00
Space group I-42d (No. 122)
Symmetry-distinct sites (fractional):
Re 0.015 0.750 0.125 [8 per cell]
Hg 0.000 0.000 0.500 [4 per cell]
H 0.000 0.000 0.000 [4 per cell]

ρ   15.686 Mg/m³
Crystal system   tetragonal

---

ZnTcSb2Te: optimized geometry, PBE.

Unit cell a=5.098 b=5.098 c=5.498 alpha=90.00 beta=90.00 gamma=90.00
Space group P4/mmm (No. 123)
Symmetry-distinct sites (fractional):
Zn 0.000 0.000 0.000 [1 per cell]
Tc 0.500 0.500 0.500 [1 per cell]
Sb 0.000 0.500 0.500 [2 per cell]
Te 0.500 0.500 0.000 [1 per cell]

Formation energy from raw total energies   2.71 eV per formula unit
ρ   6.212 Mg/m³
Crystal system   tetragonal

---

SrPbCl2: optimized geometry, PBE.

Unit cell a=3.756 b=6.858 c=9.784 alpha=90.00 beta=90.00 gamma=90.00
Space group Immm (No. 71)
Symmetry-distinct sites (fractional):
Sr 0.000 0.000 0.000 [2 per cell]
Pb 0.000 0.000 0.500 [2 per cell]
Cl 0.000 0.500 0.279 [4 per cell]

Formation energy from raw total energies   -5.20 eV per formula unit
ρ   4.819 Mg/m³
Crystal system   orthorhombic

---

Rb3As5I12: optimized geometry, PBE.

Unit cell a=19.827 b=19.827 c=19.827 alpha=90.00 beta=90.00 gamma=90.00
Space group Ia-3d (No. 230)
Symmetry-distinct sites (fractional):
Rb 0.000 0.250 0.125 [24 per cell]
As 0.000 0.000 0.000 [16 per cell]
As 0.000 0.250 0.375 [24 per cell]
I 0.036 0.142 0.960 [96 per cell]

Formation energy from raw total energies   -6.24 eV per formula unit
ρ   3.671 Mg/m³
Crystal system   cubic

---

PuUGePd: optimized geometry, PBE.

Unit cell a=6.864 b=6.864 c=6.864 alpha=90.00 beta=90.00 gamma=90.00
Space group F-43m (No. 216)
Symmetry-distinct sites (fractional):
Pu 0.000 0.000 0.000 [4 per cell]
U 0.250 0.250 0.250 [4 per cell]
Ge 0.250 0.250 0.750 [4 per cell]
Pd 0.000 0.000 0.500 [4 per cell]

ΔE_f   -0.228 eV/atom
ρ   13.578 Mg/m³
Crystal system   cubic

---

Energy list, top to bottom, in eV per atom: -4.316; -3.365; -4.893; -6.082; -4.063; -3.572; -2.550; -9.085